(1)
Material: CuAgTe2Pb
Method: DFT, GGA-PBE
State: relaxed

Cell: 5.317 4.839 5.317 Å, 90.00 90.00 90.00°
Fractional positions:
Te1 0.500 0.000 0.000
Te2 0.000 0.000 0.500
Ag1 0.000 0.500 0.000
Pb1 0.500 0.500 0.500
Cu1 0.000 0.000 0.000

Calculated values
* final energy: -3.21 eV/atom
* N(E_F): 1.6 states/eV/f.u.



(2)
Material: TlCuAg2Pb
Method: DFT, GGA-PBE
State: relaxed

Cell: 4.999 4.956 4.999 Å, 90.00 90.00 90.00°
Fractional positions:
Pb1 0.500 0.500 0.500
Tl1 0.000 0.500 0.000
Cu1 0.000 0.000 0.000
Ag1 0.000 0.000 0.500
Ag2 0.500 0.000 0.000

Calculated values
* formation energy: 346 meV per atom
* N(E_F): 1.9 states/eV/f.u.



(3)
Material: VCuAg2Pb
Method: DFT, GGA-PBE
State: relaxed

Cell: 5.262 5.279 5.262 Å, 90.00 90.00 90.00°
Last column: magnetic moment on the atom in μB.
Fractional positions:
Pb1 0.000 0.000 0.000  -0.06
V1 0.000 0.500 0.000  2.63
Cu1 0.500 0.500 0.500  -0.05
Ag1 0.500 0.000 0.000  -0.03
Ag2 0.000 0.000 0.500  -0.03

Calculated values
* formation energy: 1328 meV per atom
* N(E_F): 6.2 states/eV/f.u.



(4)
Material: CuAgPb2W
Method: DFT, GGA-PBE
State: relaxed

Cell: 5.366 5.206 5.366 Å, 90.00 90.00 90.00°
Fractional positions:
Pb1 0.500 0.000 0.000
Pb2 0.000 0.000 0.500
W1 0.000 0.000 0.000
Cu1 0.500 0.500 0.500
Ag1 0.000 0.500 0.000

Calculated values
* formation energy: 1323 meV per atom
* N(E_F): 5.6 states/eV/f.u.



(5)
Material: YCuAgPb
Method: DFT, GGA-PBE
State: relaxed

Cell: 4.952 4.952 4.952 Å, 60.00 60.00 60.00°
Fractional positions:
Cu1 0.750 0.750 0.750
Ag1 0.250 0.250 0.250
Pb1 0.000 0.000 0.000
Y1 0.500 0.500 0.500

Calculated values
* formation energy: -197 meV per atom
* N(E_F): 1.4 states/eV/f.u.



(6)
Material: CuAgPd2
Method: DFT, GGA-PBE
State: relaxed

Cell: 2.803 2.803 9.124 Å, 81.16 81.16 60.00°
Fractional positions:
Pd1 0.078 0.078 0.767
Pd2 0.256 0.256 0.233
Cu1 0.667 0.667 0.000
Ag1 0.500 0.500 0.500

Calculated values
* relative energy among the computed polymorphs: 0.020 eV/atom
* formation energy: -45 meV per atom
* N(E_F): 2.5 states/eV/f.u.



(7)
Material: CuAgPd6
Method: DFT, GGA-PBE
State: relaxed

Cell: 3.950 3.950 7.864 Å, 90.00 90.00 90.00°
Fractional positions:
Pd1 0.500 0.000 0.741
Pd2 0.500 0.000 0.259
Pd3 0.000 0.500 0.741
Pd4 0.000 0.500 0.259
Pd5 0.500 0.500 0.500
Pd6 0.500 0.500 0.000
Ag1 0.000 0.000 0.000
Cu1 0.000 0.000 0.500

Calculated values
* formation energy: -38 meV per atom
* N(E_F): 8.0 states/eV/f.u.



(8)
Material: Cu3Ag2Pd4
Method: DFT, GGA-PBE
State: relaxed

Cell: 4.989 4.989 6.880 Å, 99.72 99.72 122.30°
Fractional positions:
Cu1 0.500 0.000 0.000
Cu2 0.000 0.000 0.000
Cu3 0.000 0.500 0.000
Pd1 0.672 0.988 0.660
Pd2 0.328 0.012 0.340
Pd3 0.988 0.672 0.660
Pd4 0.012 0.328 0.340
Ag1 0.622 0.622 0.244
Ag2 0.378 0.378 0.756

Calculated values
* relative energy among the computed polymorphs: 0.003 eV/atom
* formation energy: -36 meV per atom
* N(E_F): 4.5 states/eV/f.u.



(9)
Material: Cu5Ag2Pd5
Method: DFT, GGA-PBE
State: relaxed

Cell: 4.801 4.675 9.039 Å, 87.33 96.83 60.56°
Fractional positions:
Pd1 0.177 0.158 0.500
Pd2 0.268 0.733 0.753
Pd3 0.732 0.267 0.247
Pd4 0.823 0.842 0.500
Pd5 0.000 0.000 0.000
Cu1 0.500 0.500 0.500
Cu2 0.413 0.923 0.247
Cu3 0.587 0.077 0.753
Cu4 0.348 0.322 0.999
Cu5 0.652 0.678 0.001
Ag1 0.921 0.414 0.754
Ag2 0.079 0.586 0.246

Calculated values
* formation energy: -44 meV per atom
* N(E_F): 4.2 states/eV/f.u.



(10)
Material: CuAg6Pd3
Method: DFT, GGA-PBE
State: relaxed

Cell: 2.816 10.479 11.650 Å, 100.25 90.00 90.00°
Fractional positions:
Pd1 0.250 0.377 0.501
Pd2 0.750 0.069 0.099
Pd3 0.250 0.931 0.901
Pd4 0.750 0.425 0.904
Pd5 0.250 0.575 0.096
Pd6 0.750 0.623 0.499
Cu1 0.750 0.041 0.734
Cu2 0.250 0.959 0.266
Ag1 0.750 0.341 0.119
Ag2 0.750 0.808 0.077
Ag3 0.750 0.121 0.486
Ag4 0.750 0.506 0.692
Ag5 0.250 0.494 0.308
Ag6 0.250 0.213 0.290
Ag7 0.250 0.259 0.701
Ag8 0.750 0.741 0.299
Ag9 0.250 0.192 0.923
Ag10 0.250 0.879 0.514
Ag11 0.750 0.787 0.710
Ag12 0.250 0.659 0.881

Calculated values
* formation energy: 39 meV per atom
* N(E_F): 3.4 states/eV/f.u.



(11)
Material: Cu3Ag2Pd6
Method: DFT, GGA-PBE
State: relaxed

Cell: 2.791 2.791 24.564 Å, 86.74 86.74 60.00°
Fractional positions:
Ag1 0.548 0.548 0.356
Ag2 0.452 0.452 0.644
Pd1 0.362 0.362 0.914
Pd2 0.086 0.086 0.742
Pd3 0.182 0.182 0.453
Pd4 0.638 0.638 0.086
Pd5 0.818 0.818 0.547
Pd6 0.914 0.914 0.258
Cu1 0.724 0.724 0.828
Cu2 0.276 0.276 0.172
Cu3 0.000 0.000 0.000

Calculated values
* formation energy: -46 meV per atom
* N(E_F): 8.7 states/eV/f.u.



(12)
Material: Cu2AgPd8
Method: DFT, GGA-PBE
State: relaxed

Cell: 3.894 6.284 7.327 Å, 105.64 105.41 90.00°
Fractional positions:
Pd1 0.049 0.725 0.098
Pd2 0.858 0.801 0.715
Pd3 0.316 0.087 0.632
Pd4 0.403 0.539 0.807
Pd5 0.951 0.275 0.902
Pd6 0.597 0.461 0.193
Pd7 0.684 0.913 0.368
Pd8 0.142 0.199 0.285
Ag1 0.500 0.000 0.000
Cu1 0.772 0.364 0.544
Cu2 0.228 0.636 0.456

Calculated values
* relative energy among the computed polymorphs: 0.000 eV/atom
* formation energy: -36 meV per atom
* N(E_F): 18.3 states/eV/f.u.



(13)
Material: Cu2Ag2Pd
Method: DFT, GGA-PBE
State: relaxed

Cell: 3.382 3.382 7.578 Å, 77.11 77.11 90.00°
Fractional positions:
Ag1 0.396 0.396 0.207
Ag2 0.604 0.604 0.793
Cu1 0.750 0.250 0.500
Cu2 0.250 0.750 0.500
Pd1 0.000 0.000 0.000

Calculated values
* relative energy among the computed polymorphs: 0.122 eV/atom
* formation energy: 242 meV per atom
* N(E_F): 2.2 states/eV/f.u.



(14)
Material: Cu2Ag3Pd8
Method: DFT, GGA-PBE
State: relaxed

Cell: 2.767 9.248 10.372 Å, 126.01 90.00 90.00°
Fractional positions:
Pd1 0.500 0.079 0.661
Pd2 0.500 0.921 0.339
Pd3 0.500 0.378 0.255
Pd4 0.500 0.622 0.745
Pd5 0.000 0.594 0.192
Pd6 0.000 0.848 0.707
Pd7 0.000 0.152 0.293
Pd8 0.000 0.406 0.808
Ag1 0.500 0.000 0.000
Ag2 0.000 0.764 0.045
Ag3 0.000 0.236 0.955
Cu1 0.500 0.274 0.548
Cu2 0.500 0.726 0.452

Calculated values
* formation energy: 89 meV per atom
* N(E_F): 14.7 states/eV/f.u.



(15)
Material: Cu3AgPd2
Method: DFT, GGA-PBE
State: relaxed

Cell: 5.383 4.753 8.981 Å, 111.10 90.00 124.49°
Fractional positions:
Cu1 0.043 0.335 0.085
Cu2 0.957 0.665 0.915
Cu3 0.374 0.000 0.750
Cu4 0.292 0.335 0.585
Cu5 0.708 0.665 0.415
Cu6 0.626 0.000 0.250
Pd1 0.210 0.669 0.419
Pd2 0.541 0.331 0.081
Pd3 0.459 0.669 0.919
Pd4 0.790 0.331 0.581
Ag1 0.874 0.000 0.750
Ag2 0.126 0.000 0.250

Calculated values
* relative energy among the computed polymorphs: 0.012 eV/atom
* formation energy: -45 meV per atom
* N(E_F): 2.0 states/eV/f.u.



(16)
Material: Cu7AgPd3
Method: DFT, GGA-PBE
State: relaxed

Cell: 4.618 6.422 6.422 Å, 89.55 110.78 110.78°
Fractional positions:
Ag1 0.500 0.500 0.500
Cu1 0.327 0.067 0.586
Cu2 0.673 0.414 0.933
Cu3 0.000 0.500 0.500
Cu4 0.673 0.933 0.414
Cu5 0.327 0.586 0.067
Cu6 0.174 0.179 0.179
Cu7 0.826 0.821 0.821
Pd1 0.500 0.000 0.000
Pd2 0.000 0.770 0.230
Pd3 0.000 0.230 0.770

Calculated values
* formation energy: 211 meV per atom
* N(E_F): 3.6 states/eV/f.u.



(17)
Material: Cu2AgPd2
Method: DFT, GGA-PBE
State: relaxed

Cell: 3.433 3.433 7.150 Å, 76.11 76.11 90.00°
Fractional positions:
Cu1 0.250 0.750 0.500
Cu2 0.750 0.250 0.500
Pd1 0.394 0.394 0.212
Pd2 0.606 0.606 0.788
Ag1 0.000 0.000 0.000

Calculated values
* relative energy among the computed polymorphs: 0.171 eV/atom
* formation energy: 166 meV per atom
* N(E_F): 1.6 states/eV/f.u.



(18)
Material: CuAg5Pd2
Method: DFT, GGA-PBE
State: relaxed

Cell: 4.063 5.716 11.413 Å, 90.00 90.00 90.00°
Fractional positions:
Cu1 0.000 0.500 0.000
Cu2 0.000 0.000 0.500
Ag1 0.000 0.009 0.254
Ag2 0.500 0.245 0.875
Ag3 0.000 0.509 0.246
Ag4 0.000 0.000 0.000
Ag5 0.000 0.500 0.500
Ag6 0.000 0.491 0.754
Ag7 0.000 0.991 0.746
Ag8 0.500 0.745 0.625
Ag9 0.500 0.755 0.125
Ag10 0.500 0.255 0.375
Pd1 0.500 0.264 0.120
Pd2 0.500 0.236 0.620
Pd3 0.500 0.764 0.380
Pd4 0.500 0.736 0.880

Calculated values
* formation energy: -18 meV per atom
* N(E_F): 1.9 states/eV/f.u.



(19)
Material: Cu2Ag5Pd5
Method: DFT, GGA-PBE
State: relaxed

Cell: 3.921 6.339 8.546 Å, 73.46 76.74 71.98°
Fractional positions:
Ag1 0.837 0.826 0.499
Ag2 0.163 0.174 0.501
Ag3 0.747 0.257 0.248
Ag4 0.000 0.000 0.000
Ag5 0.253 0.743 0.752
Pd1 0.577 0.095 0.751
Pd2 0.332 0.339 0.997
Pd3 0.423 0.905 0.249
Pd4 0.668 0.661 0.003
Pd5 0.500 0.500 0.500
Cu1 0.083 0.589 0.245
Cu2 0.917 0.411 0.755

Calculated values
* formation energy: -25 meV per atom
* N(E_F): 4.4 states/eV/f.u.



(20)
Material: Cu2AgPd2
Method: DFT, GGA-PBE
State: relaxed

Cell: 2.735 2.760 10.054 Å, 82.11 90.00 90.00°
Fractional positions:
Cu1 0.000 0.199 0.603
Cu2 0.000 0.801 0.397
Ag1 0.000 0.000 0.000
Pd1 0.500 0.608 0.784
Pd2 0.500 0.392 0.216

Calculated values
* relative energy among the computed polymorphs: 0.039 eV/atom
* formation energy: 34 meV per atom
* N(E_F): 2.1 states/eV/f.u.